No. 1
A plane-wave DFT calculation with PBE-GGA was carried out for a relaxed structure of PrMg4GaPt2.

abc: 7.9905 4.3494 9.8778
angles: 90.00 90.00 90.00
Sites, in units of the cell vectors:
1 Pr 0.0000 0.0000 0.0000
2 Pr 0.0000 0.5000 0.5000
3 Mg 0.2126 0.0000 0.7070
4 Mg 0.2126 0.5000 0.2070
5 Mg 0.3151 0.0000 0.4043
6 Mg 0.3151 0.5000 0.9043
7 Mg 0.6849 0.0000 0.4043
8 Mg 0.6849 0.5000 0.9043
9 Mg 0.7874 0.0000 0.7070
10 Mg 0.7874 0.5000 0.2070
11 Ga 0.5000 0.0000 0.1145
12 Ga 0.5000 0.5000 0.6145
13 Pt 0.0000 0.0000 0.2921
14 Pt 0.0000 0.5000 0.7921
15 Pt 0.5000 0.0000 0.8516
16 Pt 0.5000 0.5000 0.3516



No. 2
A plane-wave DFT calculation with PBE-GGA was carried out for a relaxed structure of Pr3Mg3Ga2Pt.

abc: 7.5419 7.5419 4.4393
angles: 90.00 90.00 120.00
Sites, in units of the cell vectors:
1 Pr 0.0000 0.4101 0.0000
2 Pr 0.4101 0.0000 0.0000
3 Pr 0.5899 0.5899 0.0000
4 Mg 0.0000 0.7652 0.5000
5 Mg 0.2348 0.2348 0.5000
6 Mg 0.7652 0.0000 0.5000
7 Ga 0.3333 0.6667 0.5000
8 Ga 0.6667 0.3333 0.5000
9 Pt 0.0000 0.0000 0.0000



No. 3
A plane-wave DFT calculation with PBE-GGA was carried out for a relaxed structure of Pr3Mg3TlGa2.

abc: 7.5811 7.5811 4.6609
angles: 90.00 90.00 120.00
Sites, in units of the cell vectors:
1 Pr 0.0000 0.5677 0.0000
2 Pr 0.4323 0.4323 0.0000
3 Pr 0.5677 0.0000 0.0000
4 Mg 0.0000 0.2499 0.5000
5 Mg 0.2499 0.0000 0.5000
6 Mg 0.7501 0.7501 0.5000
7 Tl 0.0000 0.0000 0.0000
8 Ga 0.3333 0.6667 0.5000
9 Ga 0.6667 0.3333 0.5000



No. 4
A plane-wave DFT calculation with PBE-GGA was carried out for a relaxed structure of Pr3Mg3ZnGa2.

abc: 7.5020 7.5020 4.5591
angles: 90.00 90.00 120.00
Sites, in units of the cell vectors:
1 Pr 0.0000 0.5816 0.0000
2 Pr 0.4184 0.4184 0.0000
3 Pr 0.5816 0.0000 0.0000
4 Mg 0.0000 0.2414 0.5000
5 Mg 0.2414 0.0000 0.5000
6 Mg 0.7586 0.7586 0.5000
7 Zn 0.0000 0.0000 0.0000
8 Ga 0.3333 0.6667 0.5000
9 Ga 0.6667 0.3333 0.5000



No. 5
A plane-wave DFT calculation with PBE-GGA was carried out for a relaxed structure of Mg2GaPt2.

abc: 6.6707 6.6707 3.9544
angles: 90.00 90.00 90.00
Sites, in units of the cell vectors:
1 Mg 0.1571 0.3429 0.0000
2 Mg 0.3429 0.8429 0.0000
3 Mg 0.6571 0.1571 0.0000
4 Mg 0.8429 0.6571 0.0000
5 Ga 0.0000 0.0000 0.5000
6 Ga 0.5000 0.5000 0.5000
7 Pt 0.1483 0.6483 0.5000
8 Pt 0.3517 0.1483 0.5000
9 Pt 0.6483 0.8517 0.5000
10 Pt 0.8517 0.3517 0.5000



No. 6
A plane-wave DFT calculation with PBE-GGA was carried out for a relaxed structure of MgSc2GaPt4.

abc: 4.5605 4.5605 6.4342
angles: 90.00 90.00 90.00
Sites, in units of the cell vectors:
1 Mg 0.0000 0.0000 0.0000
2 Sc 0.0000 0.0000 0.5000
3 Sc 0.5000 0.5000 0.0000
4 Ga 0.5000 0.5000 0.5000
5 Pt 0.0000 0.5000 0.2525
6 Pt 0.0000 0.5000 0.7475
7 Pt 0.5000 0.0000 0.2525
8 Pt 0.5000 0.0000 0.7475



Number 1: DFT total energy -61.102 eV per cell. Number 2: DFT total energy -36.635 eV per cell. Number 3: DFT total energy -31.402 eV per cell. Number 4: DFT total energy -30.178 eV per cell. Number 5: DFT total energy -43.478 eV per cell. Number 6: DFT total energy -49.622 eV per cell.